1.
{"formula": "InMoRh2", "functional": "GGA-PBE", "state": "relaxed", "cell": [[-4.492, 1.008, -1.286], [-2.545, -0.150, 4.043], [4.029, 2.389, -0.953]], "species": ["Rh", "Rh", "Mo", "In"], "frac_coords": [[0.000, 0.000, 0.000], [0.500, 0.500, 0.000], [0.250, 0.750, 0.500], [0.750, 0.250, 0.500]], "e_form_ev_per_atom": -0.11, "space_group": "I4/mmm (139)", "dft_energy_ev_per_cell": -28.72, "n_ef_per_ev_fu": 3.578}

2.
{"formula": "InMoRh2", "functional": "GGA-PBE", "state": "relaxed", "cell": [[-7.149, 0.271, -0.384], [-0.204, -7.062, -1.191], [-3.843, -3.860, 1.996]], "species": ["Mo", "Mo", "In", "In", "Rh", "Rh", "Rh", "Rh"], "frac_coords": [[0.250, 0.750, 0.500], [0.500, 0.500, 0.000], [0.750, 0.250, 0.500], [0.000, 0.000, 0.000], [0.375, 0.414, 0.750], [0.875, 0.836, 0.750], [0.164, 0.625, 0.250], [0.586, 0.125, 0.250]], "e_form_ev_per_atom": 0.33, "space_group": "I-42d (122)", "dft_energy_ev_per_cell": -53.87, "n_ef_per_ev_fu": 6.425}

3.
{"formula": "InMoRh2", "functional": "GGA-PBE", "state": "relaxed", "cell": [[-0.244, -1.057, 3.524], [4.162, 0.342, 0.391], [-0.439, 4.003, 1.170]], "species": ["Mo", "In", "Rh", "Rh"], "frac_coords": [[0.500, 0.000, 0.500], [0.500, 0.500, 0.000], [0.000, 0.500, 0.500], [0.000, 0.000, 0.000]], "e_form_ev_per_atom": 0.05, "space_group": "P4/mmm (123)", "dft_energy_ev_per_cell": -28.07, "n_ef_per_ev_fu": 4.094}

4.
{"formula": "InMoRh2", "functional": "GGA-PBE", "state": "relaxed", "cell": [[-1.444, -0.716, 2.376], [3.450, 0.312, 2.191], [-1.078, 5.298, 0.942]], "species": ["In", "Mo", "Rh", "Rh"], "frac_coords": [[0.000, 0.000, 0.478], [0.500, 0.500, 0.786], [0.500, 0.500, 0.261], [0.000, 0.000, 0.975]], "e_form_ev_per_atom": -0.03, "space_group": "Pmm2 (25)", "dft_energy_ev_per_cell": -28.39, "n_ef_per_ev_fu": 3.768}

5.
{"formula": "InMoRh2", "functional": "GGA-PBE", "state": "relaxed", "cell": [[-0.306, -1.889, 4.658], [-2.242, -4.504, 0.221], [3.711, 1.967, -2.778]], "species": ["Rh", "Rh", "Mo", "In"], "frac_coords": [[0.000, 0.000, 0.000], [0.250, 0.750, 0.500], [0.750, 0.250, 0.500], [0.500, 0.500, 0.000]], "e_form_ev_per_atom": -0.02, "space_group": "I-4m2 (119)", "dft_energy_ev_per_cell": -28.35, "n_ef_per_ev_fu": 4.483}

6.
{"formula": "InMoRh", "functional": "GGA-PBE", "state": "relaxed", "cell": [[6.201, 0.017, -0.007], [4.802, 3.922, 0.009], [-5.498, -1.977, 2.073]], "species": ["Rh", "Mo", "In"], "frac_coords": [[0.324, 0.324, 0.000], [0.680, 0.680, 0.000], [0.996, 0.996, 0.000]], "e_form_ev_per_atom": -0.07, "space_group": "I4mm (107)", "dft_energy_ev_per_cell": -21.12, "n_ef_per_ev_fu": 2.291}

7.
{"formula": "InMoRh", "functional": "GGA-PBE", "state": "relaxed", "cell": [[-3.169, -2.951, 1.371], [3.821, 0.509, 2.402], [-1.226, 2.023, 1.521]], "species": ["In", "Rh", "Mo"], "frac_coords": [[0.000, 0.000, 0.835], [0.333, 0.667, 0.832], [0.667, 0.333, 0.333]], "e_form_ev_per_atom": 0.14, "space_group": "P3m1 (156)", "dft_energy_ev_per_cell": -20.51, "n_ef_per_ev_fu": 1.788}

8.
{"formula": "InMoRh2", "functional": "GGA-PBE", "state": "relaxed", "cell": [[6.557, 0.007, 0.022], [-2.644, 3.963, -0.001], [1.269, 0.843, 2.454]], "species": ["Rh", "Rh", "In", "Mo"], "frac_coords": [[0.000, 0.000, 0.000], [0.500, 0.000, 0.500], [0.000, 0.500, 0.500], [0.500, 0.500, 0.000]], "e_form_ev_per_atom": -0.08, "space_group": "Cmmm (65)", "dft_energy_ev_per_cell": -28.61, "n_ef_per_ev_fu": 3.278}